DFT (PBE) results for a relaxed Ta2IrPb crystal.

Geometry as POSCAR:
```
Ta2IrPb
1.0
-0.883 1.599 -2.972
0.818 -2.879 -1.792
-5.980 -2.102 0.646
Ir Pb Ta
1 1 2
Direct
0.000 0.000 0.449
0.500 0.500 0.756
0.000 0.000 0.024
0.500 0.500 0.271
```

Properties
Calculated formation energy (eV/atom): 0.163